Record 1
Compound: Y4CoAsN2
Source: OQMD
Functional: GGA-PBE
Structure: optimized geometry

Computed properties:
**E**: -7.77 eV/atom
**Spin magnetization**: 0.018 μB/atom
**Calculated volume**: 148 Å³ per cell

Structure (POSCAR):
```
Y4CoAsN2
1.0
3.572 0.000 0.000
-1.786 3.093 0.000
0.000 0.000 13.408
Y Co As N
4 1 1 2
Direct
0.000 0.000 0.142 Y
0.000 0.000 0.858 Y
0.667 0.333 0.346 Y
0.667 0.333 0.654 Y
0.667 0.333 0.000 Co
0.000 0.000 0.500 As
0.333 0.667 0.251 N
0.333 0.667 0.749 N
```

---

Record 2
Compound: Na2Co2As
Source: OQMD
Functional: GGA-PBE
Structure: optimized geometry

Computed properties:
**E**: -4.15 eV/atom
**Spin magnetization**: 0.000 μB/atom
**Calculated volume**: 163 Å³ per cell

Structure (POSCAR):
```
Na2Co2As
1.0
7.051 0.000 0.000
0.000 3.963 0.000
-2.494 0.000 5.842
Na Co As
4 4 2
Direct
0.206 0.000 0.123 Na
0.294 0.500 0.877 Na
0.706 0.500 0.123 Na
0.794 0.000 0.877 Na
0.140 0.500 0.420 Co
0.360 0.000 0.580 Co
0.640 0.000 0.420 Co
0.860 0.500 0.580 Co
0.000 0.000 0.500 As
0.500 0.500 0.500 As
```

---

Record 3
Compound: Na3Co4As4
Source: OQMD
Functional: GGA-PBE
Structure: optimized geometry

Computed properties:
**E**: -5.00 eV/atom
**Spin magnetization**: 0.003 μB/atom
**Calculated volume**: 183 Å³ per cell

Structure (POSCAR):
```
Na3Co4As4
1.0
-3.580 3.580 3.580
3.580 -3.580 3.580
3.580 3.580 -3.580
Na Co As
3 4 4
Direct
0.000 0.500 0.500 Na
0.500 0.000 0.500 Na
0.500 0.500 0.000 Na
0.000 0.000 0.260 Co
0.000 0.260 0.000 Co
0.260 0.000 0.000 Co
0.740 0.740 0.740 Co
0.000 0.000 0.624 As
0.000 0.624 0.000 As
0.376 0.376 0.376 As
0.624 0.000 0.000 As
```